[1]
DFT (PBE) results for crystalline Nd2Sm9Er at its relaxed geometry.

Computed properties:
Space-group type: P6/mmm, No. 191
Energy in Ha/atom: -0.171

abc: 3.5385 11.4573 11.4573
angles: 120.00 90.00 90.00
With the nearest neighbours (Å) after each atom.
Sites, in units of the cell vectors:
Nd1 0.0000 0.6667 0.3333  9 Sm 3.31-3.66, 2 Nd 3.54
Nd2 0.0000 0.3333 0.6667  9 Sm 3.31-3.66, 2 Nd 3.54
Sm1 0.5000 0.1718 0.8282  8 Sm 3.41-3.71, 2 Nd 3.66
Sm2 0.5000 0.6564 0.8282  8 Sm 3.41-3.71, 2 Nd 3.66
Sm3 0.0000 0.0000 0.5000  2 Nd 3.31, 2 Sm 3.54
Sm4 0.5000 0.3436 0.1718  8 Sm 3.41-3.71, 2 Nd 3.66
Sm5 0.5000 0.8282 0.6564  8 Sm 3.41-3.71, 2 Nd 3.66
Sm6 0.5000 0.8282 0.1718  8 Sm 3.41-3.71, 2 Nd 3.66
Sm7 0.5000 0.1718 0.3436  8 Sm 3.41-3.71, 2 Nd 3.66
Sm8 0.0000 0.5000 0.0000  2 Nd 3.31, 2 Sm 3.54
Sm9 0.0000 0.5000 0.5000  2 Nd 3.31, 2 Sm 3.54
Er1 0.0000 0.0000 0.0000  2 Er 3.54, 12 Sm 3.84

[2]
DFT (PBE) results for crystalline Ta4H at its relaxed geometry.

Computed properties:
Space-group type: Pm-3m, No. 221
Energy in Ha/atom: -0.368

abc: 4.2486 4.2486 4.2486
angles: 90.00 90.00 90.00
With the nearest neighbours (Å) after each atom.
Sites, in units of the cell vectors:
Ta1 0.5000 0.0000 0.5000  2 H 2.12
Ta2 0.0000 0.0000 0.0000  12 Ta 3.00
Ta3 0.0000 0.5000 0.5000  2 H 2.12
Ta4 0.5000 0.5000 0.0000  2 H 2.12
H1 0.5000 0.5000 0.5000  6 Ta 2.12

[3]
DFT (PBE) results for crystalline Ac4PS2Cl at its relaxed geometry.

Computed properties:
Space-group type: P2/m, No. 10
ΔE_f (raw) in eV per atom: -1.765

abc: 4.3527 7.5349 7.5143
angles: 70.52 90.00 90.00
With the nearest neighbours (Å) after each atom.
Sites, in units of the cell vectors:
Ac1 0.0000 0.2368 0.2674  3 S 2.98-3.10, 1 P 3.05, 2 Cl 3.17
Ac2 0.5000 0.7535 0.2609  3 S 2.98-3.10, 2 P 3.05, 1 Cl 3.16
Ac3 0.0000 0.7632 0.7326  3 S 2.98-3.10, 1 P 3.05, 2 Cl 3.17
Ac4 0.5000 0.2465 0.7391  3 S 2.98-3.10, 2 P 3.05, 1 Cl 3.16
S1 0.5000 0.0000 0.5000  6 Ac 2.98
S2 0.0000 0.0000 0.0000  6 Ac 3.10
Cl1 0.5000 0.5000 0.0000  6 Ac 3.16-3.17
P1 0.0000 0.5000 0.5000  6 Ac 3.05

[4]
DFT (PBE) results for crystalline MgSbC3 at its relaxed geometry.

Computed properties:
Space-group type: Pm-3m, No. 221
ΔE_f (raw) in eV per atom: 2.541

abc: 4.2587 4.2587 4.2587
angles: 90.00 90.00 90.00
With the nearest neighbours (Å) after each atom.
Sites, in units of the cell vectors:
C1 0.0000 0.5000 0.0000  2 Sb 2.13
C2 0.5000 0.0000 0.0000  2 Sb 2.13
C3 0.0000 0.0000 0.5000  2 Sb 2.13
Mg1 0.5000 0.5000 0.5000  12 C 3.01
Sb1 0.0000 0.0000 0.0000  6 C 2.13

[5]
DFT (PBE) results for crystalline SrTl2Cl at its relaxed geometry.

Computed properties:
Space-group type: I-42d, No. 122
ΔE_f (raw) in eV per atom: -0.601

abc: 10.3284 10.3284 7.8384
angles: 48.79 48.79 90.00
With the nearest neighbours (Å) after each atom.
Sites, in units of the cell vectors:
Sr1 0.0000 0.0000 0.0000  2 Cl 2.85
Sr2 0.7500 0.2500 0.5000  2 Cl 2.85
Tl1 0.5608 0.1250 0.2500  2 Tl 3.14, 2 Cl 3.29
Tl2 0.3750 0.4392 0.7500  2 Tl 3.14, 2 Cl 3.29
Tl3 0.1892 0.6250 0.2500  2 Tl 3.14, 2 Cl 3.29
Tl4 0.8750 0.8108 0.7500  2 Tl 3.14, 2 Cl 3.29
Cl1 0.2500 0.7500 0.5000  2 Sr 2.85
Cl2 0.5000 0.5000 0.0000  2 Sr 2.85

[6]
DFT (PBE) results for crystalline Ni3PtBr at its relaxed geometry.

Computed properties:
Space-group type: Pm-3m, No. 221
ΔE_f (raw) in eV per atom: 1.029

abc: 4.6764 4.6764 4.6764
angles: 90.00 90.00 90.00
With the nearest neighbours (Å) after each atom.
Sites, in units of the cell vectors:
Ni1 0.0000 0.0000 0.5000  2 Pt 2.34
Ni2 0.0000 0.5000 0.0000  2 Pt 2.34
Ni3 0.5000 0.0000 0.0000  2 Pt 2.34
Br1 0.5000 0.5000 0.5000  12 Ni 3.31
Pt1 0.0000 0.0000 0.0000  6 Ni 2.34

| no. | ρ (g cm⁻³) | density of states at the Fermi level (states/eV/f.u.) | M_tot (μB/f.u.) |
| --- | --- | --- | --- |
| 1 | 7.5 | 15.78 | 0.0 |
| 2 | 15.7 | 4.89 | 0.0 |
| 3 | 7.4 | 3.93 | 0.0 |
| 4 | 3.9 | 4.38 | 0.0 |
| 5 | 5.8 | 3.65 | 0.0 |
| 6 | 7.3 | 10.97 | 3.1 |